# Pm2CrAgO6

A geometry-optimized Pm2CrAgO6 structure (GGA+U, the Alexandria database).

The spin magnetization comes out at 0.10 μB per atom. The calculation puts the energy at -69.966 eV per cell.

CIF file:
```
data_Pm2CrAgO6
_cell_length_a 5.357
_cell_length_b 5.357
_cell_length_c 5.148
_cell_angle_alpha 90.00
_cell_angle_beta 90.00
_cell_angle_gamma 90.00
_symmetry_space_group_name_H-M 'P 4 m m'
_symmetry_Int_Tables_number 99
loop_
_symmetry_equiv_pos_as_xyz
'x,y,z'
'-y,x,z'
'-x,-y,z'
'y,-x,z'
'-x,y,z'
'y,x,z'
'x,-y,z'
'-y,-x,z'
loop_
_atom_site_label
_atom_site_type_symbol
_atom_site_fract_x
_atom_site_fract_y
_atom_site_fract_z
_atom_site_occupancy
Pm1 Pm 0.000 0.500 0.000 1
Cr1 Cr 0.000 0.000 0.609 1
Ag1 Ag 0.500 0.500 0.516 1
O1 O 0.000 0.000 0.271 1
O2 O 0.226 0.226 0.743 1
O3 O 0.500 0.500 0.104 1
```